Entry 1:
CuAgF3 | GGA-PBE | optimized geometry

Computed properties:
For the total energy, the calculation gives -3.24 eV/atom. The calculation puts the relative energy among the computed polymorphs at 589 meV/atom.

Geometry as POSCAR:
```
CuAgF3
1.0
4.3048 0.0000 0.0000
0.0000 4.3048 0.0000
0.0000 0.0000 4.3048
Cu Ag F
1 1 3
Direct
0.0000 0.0000 0.0000
0.5000 0.5000 0.5000
0.0000 0.5000 0.5000
0.5000 0.0000 0.5000
0.5000 0.5000 0.0000
```

***

Entry 2:
Cu2Re | GGA-PBE | optimized geometry

Computed properties:
For the total energy, the calculation gives -6.47 eV/atom. For the energy of formation, the calculation gives 0.408 eV/atom. The calculation puts the relative energy among the computed polymorphs at 219 meV/atom.

Geometry as POSCAR:
```
Cu2Re
1.0
4.2630 0.0000 0.0000
-2.1315 3.6919 0.0000
0.0000 0.0000 2.4829
Cu Re
2 1
Direct
0.3333 0.6667 0.0000
0.6667 0.3333 0.0000
0.0000 0.0000 0.5000
```

***

Entry 3:
Al2Ga2Ag3 | GGA-PBE | optimized geometry

Computed properties:
For the total energy, the calculation gives -3.13 eV/atom. For the energy of formation, the calculation gives 0.030 eV/atom. The calculation puts the relative energy among the computed polymorphs at 9 meV/atom.

Geometry as POSCAR:
```
Al2Ga2Ag3
1.0
1.9329 -11.3718 0.0000
1.9329 11.3718 0.0000
0.0000 0.0000 2.8592
Al Ga Ag
2 2 3
Direct
0.1358 0.8642 0.0000
0.8642 0.1358 0.0000
0.2944 0.7056 0.5000
0.7056 0.2944 0.5000
0.0000 0.0000 0.0000
0.4279 0.5721 0.5000
0.5721 0.4279 0.5000
```